Compound: Cr3O2F2
Source: Alexandria via LeMat-Bulk
Functional: PBE with a Hubbard U
Structure: optimized geometry

a = 6.0487 Å, b = 6.5331 Å, c = 5.5856 Å
α = 90.00°, β = 117.48°, γ = 90.00°
Last column: nearest neighbours and their distance in Å.
Space group P2_1/c (No. 14)
Inequivalent atoms, fractional coordinates:
Cr (0.0000, 0.0000, 0.0000) [2 per cell]  2 O 2.03, 2 F 2.06
Cr (0.4635, 0.1223, 0.7086) [4 per cell]  3 O 2.05-2.09, 1 F 2.15
O (0.3168, 0.1223, 0.2965) [4 per cell]  4 Cr 2.03-2.09
F (0.2475, 0.6226, 0.3800) [4 per cell]  2 Cr 2.06-2.15

Summary:
Magnetic moment, μB/atom: 1.714
Calculated total energy, eV per atom: -7.133
Crystal system: monoclinic